Crystalline AcPmNCl at its relaxed geometry. Source: Alexandria via LeMat-Bulk, functional PBE.

Cell and atoms, written as POSCAR:
```
AcPmNCl
1.0
3.7416 0.0000 0.0000
-1.8653 3.2570 0.0000
-0.0095 -2.1609 7.5497
Ac Pm N Cl
1 1 1 1
Direct
0.0000 0.0000 0.0000
0.7931 0.5850 0.3772
0.4084 0.8167 0.2238
0.2196 0.4370 0.6567
```

Formation energy without anion corrections (eV/f.u.): -5.80
Crystal system: triclinic
DOS at the Fermi energy (states/eV per cell): 0.7
Mass density (g cm⁻³): 7.61

---

Crystalline Ac8Rh3NCl4 at its relaxed geometry. Source: Alexandria via LeMat-Bulk, functional PBE.

Cell and atoms, written as POSCAR:
```
Ac8Rh3NCl4
1.0
7.3966 -4.1792 0.0000
7.3966 4.1792 0.0000
-5.0268 0.0000 8.0181
Ac Rh N Cl
8 3 1 4
Direct
0.2194 0.7598 0.6925
0.2378 0.2378 0.7046
0.2402 0.7806 0.3075
0.2636 0.2636 0.2958
0.7364 0.7364 0.7042
0.7598 0.2194 0.6925
0.7622 0.7622 0.2954
0.7806 0.2402 0.3075
0.0000 0.5000 0.5000
0.5000 0.0000 0.5000
0.5000 0.5000 0.5000
0.0000 0.0000 0.5000
0.0000 0.0000 0.0000
0.0000 0.5000 0.0000
0.5000 0.0000 0.0000
0.5000 0.5000 0.0000
```

Formation energy without anion corrections (eV/f.u.): -19.56
Crystal system: monoclinic
DOS at the Fermi energy (states/eV per cell): 8.1
Mass density (g cm⁻³): 7.64

---

Repeat the first record exactly.
Crystalline AcPmNCl at its relaxed geometry. Source: Alexandria via LeMat-Bulk, functional PBE.

Cell and atoms, written as POSCAR:
```
AcPmNCl
1.0
3.7416 0.0000 0.0000
-1.8653 3.2570 0.0000
-0.0095 -2.1609 7.5497
Ac Pm N Cl
1 1 1 1
Direct
0.0000 0.0000 0.0000
0.7931 0.5850 0.3772
0.4084 0.8167 0.2238
0.2196 0.4370 0.6567
```

Formation energy without anion corrections (eV/f.u.): -5.80
Crystal system: triclinic
DOS at the Fermi energy (states/eV per cell): 0.7
Mass density (g cm⁻³): 7.61

---

The lowest mass density belongs to which entry? AcPmNCl

---

Repeat the first record exactly.
Crystalline AcPmNCl at its relaxed geometry. Source: Alexandria via LeMat-Bulk, functional PBE.

Cell and atoms, written as POSCAR:
```
AcPmNCl
1.0
3.7416 0.0000 0.0000
-1.8653 3.2570 0.0000
-0.0095 -2.1609 7.5497
Ac Pm N Cl
1 1 1 1
Direct
0.0000 0.0000 0.0000
0.7931 0.5850 0.3772
0.4084 0.8167 0.2238
0.2196 0.4370 0.6567
```

Formation energy without anion corrections (eV/f.u.): -5.80
Crystal system: triclinic
DOS at the Fermi energy (states/eV per cell): 0.7
Mass density (g cm⁻³): 7.61

---

Repeat the second record exactly.
Crystalline Ac8Rh3NCl4 at its relaxed geometry. Source: Alexandria via LeMat-Bulk, functional PBE.

Cell and atoms, written as POSCAR:
```
Ac8Rh3NCl4
1.0
7.3966 -4.1792 0.0000
7.3966 4.1792 0.0000
-5.0268 0.0000 8.0181
Ac Rh N Cl
8 3 1 4
Direct
0.2194 0.7598 0.6925
0.2378 0.2378 0.7046
0.2402 0.7806 0.3075
0.2636 0.2636 0.2958
0.7364 0.7364 0.7042
0.7598 0.2194 0.6925
0.7622 0.7622 0.2954
0.7806 0.2402 0.3075
0.0000 0.5000 0.5000
0.5000 0.0000 0.5000
0.5000 0.5000 0.5000
0.0000 0.0000 0.5000
0.0000 0.0000 0.0000
0.0000 0.5000 0.0000
0.5000 0.0000 0.0000
0.5000 0.5000 0.0000
```

Formation energy without anion corrections (eV/f.u.): -19.56
Crystal system: monoclinic
DOS at the Fermi energy (states/eV per cell): 8.1
Mass density (g cm⁻³): 7.64